Here is a relaxed structure of Nd2SnPb5 from the Alexandria database. Energies are from PBE.

## Properties
**Total energy**: -4.40 eV/atom
**Symmetry**: Pbam
**Mass density**: 10.1 g/cm3

```
Nd2SnPb5
1.0
-3.443 -1.884 -2.939
-4.009 -1.288 5.521
-5.796 12.577 -1.274
Nd Sn Pb
4 2 10
direct
0.500 0.241 0.379
0.500 0.759 0.621
0.500 0.259 0.879
0.500 0.741 0.121
0.000 0.000 0.500
0.000 0.500 0.000
0.500 0.245 0.127
0.500 0.755 0.873
0.500 0.745 0.373
0.500 0.255 0.627
0.000 0.006 0.749
0.000 0.994 0.251
0.000 0.506 0.751
0.000 0.494 0.249
0.000 0.500 0.500
0.000 0.000 0.000
```